Entry 1:
! NaHgSbPb2 (PBE-GGA, relaxed); values from VASP
&SYSTEM
  ibrav = 0, nat = 10, ntyp = 4
/
ATOMIC_SPECIES
Na 22.99 Na.upf
Hg 200.59 Hg.upf
Sb 121.76 Sb.upf
Pb 207.20 Pb.upf
ATOMIC_POSITIONS angstrom
Na 5.0069 3.3442 3.6751
Na 1.6690 0.0000 3.7075
Hg 1.6690 3.3442 5.2058
Hg 5.0069 0.0000 2.1768
Sb 1.6690 3.3442 2.3395
Sb 5.0069 0.0000 5.0431
Pb 3.3379 1.7267 0.0000
Pb 0.0000 4.9618 0.0000
Pb 3.3379 4.9618 0.0000
Pb 0.0000 1.7267 0.0000
CELL_PARAMETERS angstrom
6.6758 0.0000 0.0000
0.0000 6.6885 0.0000
0.0000 -3.3442 7.3826
! Raw formation energy = -0.058 eV per atom
! Raw total energy = -26.897 eV for the cell shown
! Spin magnetization = 0.00 μB per cell

Entry 2:
! PmPr2CuS5 (PBE-GGA, relaxed); values from VASP
&SYSTEM
  ibrav = 0, nat = 18, ntyp = 4
/
ATOMIC_SPECIES
Pm 145.00 Pm.upf
Pr 140.91 Pr.upf
Cu 63.55 Cu.upf
S 32.06 S.upf
ATOMIC_POSITIONS angstrom
Pm 1.9836 5.2712 5.9865
Pm 0.0000 3.3580 0.1218
Pr 1.9837 6.5796 9.5330
Pr 0.0000 1.8524 8.0391
Pr 0.0000 2.0496 3.6683
Pr 1.9837 6.7768 2.1744
Cu 1.9837 0.9805 11.1806
Cu 0.0000 7.6487 5.3160
S 0.0000 6.1836 0.0289
S 1.9837 3.1292 9.9175
S 0.0000 8.6053 9.1248
S 0.0000 5.0244 7.9717
S 1.9837 7.9242 6.5292
S 1.9836 2.4456 5.8936
S 0.0000 5.5000 4.0528
S 1.9837 0.0239 3.2601
S 1.9837 3.6048 2.1071
S 0.0000 0.7050 0.6645
CELL_PARAMETERS angstrom
3.9673 0.0000 0.0000
-1.9837 8.6292 0.0000
0.0000 0.0000 11.7293
! Raw formation energy = -1.728 eV per atom
! Raw total energy = -109.189 eV for the cell shown
! Spin magnetization = 0.00 μB per cell

Entry 3:
! NpCd2Pd9 (PBE-GGA, relaxed); values from VASP
&SYSTEM
  ibrav = 0, nat = 12, ntyp = 3
/
ATOMIC_SPECIES
Np 237.00 Np.upf
Cd 112.41 Cd.upf
Pd 106.42 Pd.upf
ATOMIC_POSITIONS angstrom
Np 0.0000 0.0000 0.0000
Cd 3.6530 1.3521 1.2819
Cd 7.1693 2.6536 2.5159
Pd -1.3082 1.9538 1.6672
Pd 2.2971 3.2883 2.9324
Pd 5.9087 4.6250 4.1998
Pd 1.1729 2.5889 0.3781
Pd 4.7876 3.9268 1.6466
Pd 8.4022 5.2647 2.9150
Pd 1.1119 0.6948 2.5500
Pd 4.7265 2.0327 3.8184
Pd 8.3411 3.3705 5.0869
CELL_PARAMETERS angstrom
-1.2471 3.8480 -0.5047
-1.3693 0.0597 3.8390
10.8223 4.0056 3.7978
! Raw total energy = -65.396 eV for the cell shown
! ΔH_f (0 K) = -0.324 eV/atom
! Spin magnetization = 2.69 μB per cell

Entry 4:
! Dy3Tm2Tl4 (PBE-GGA, relaxed); values from VASP
&SYSTEM
  ibrav = 0, nat = 9, ntyp = 3
/
ATOMIC_SPECIES
Dy 162.50 Dy.upf
Tm 168.93 Tm.upf
Tl 204.38 Tl.upf
ATOMIC_POSITIONS angstrom
Dy 0.0943 3.6824 0.3331
Dy 3.9731 1.5539 5.2401
Dy 0.0000 0.0000 0.0000
Tm 2.9682 1.4160 1.6423
Tm 1.0991 3.8203 3.9309
Tl 1.8675 4.5066 -2.3080
Tl 1.1067 0.5894 3.9656
Tl 2.1999 0.7297 7.8811
Tl 2.9606 4.6469 1.6076
CELL_PARAMETERS angstrom
4.6561 -0.0021 -1.2994
-0.6992 6.1266 -2.5157
0.1105 -0.8882 9.3883
! Raw total energy = -34.563 eV for the cell shown
! ΔH_f (0 K) = -0.261 eV/atom
! Spin magnetization = 0.00 μB per cell
! Energy above the most stable polymorph in this dataset = 0 meV per atom

Question: Which formula does entry 3 have?
Answer: NpCd2Pd9